Here is crystalline SrMnAg2F6 at its relaxed geometry from the Alexandria database. Energies are from PBE+U.

Cell: 5.990 6.155 10.442 Å, 90.00 124.05 90.00°
Space group P2_1/c (No. 14)
Inequivalent atoms, fractional coordinates:
Sr  0.000  0.000  0.000 (multiplicity 2)
Mn  0.500  0.000  0.500 (multiplicity 2)
Ag  0.268  0.055  0.751 (multiplicity 4)
F  0.144  0.068  0.268 (multiplicity 4)
F  0.273  0.678  0.064 (multiplicity 4)
F  0.400  0.210  0.072 (multiplicity 4)

Values from the calculation:
**Electronic total energy**: -49.48 eV/f.u.
**Calculated volume**: 319.0 Å³/cell